1.
{
  "formula": "LaSmPb6",
  "functional": "PBE",
  "state": "relaxed",
  "space_group": "P4/mmm (123)",
  "ef_ev_per_atom": -0.397,
  "total_energy_ev_per_cell": -35.07,
  "total_magnetization_mub_per_cell": 0.0,
  "lattice": [[4.9439, 0.0000, 0.0000], [0.0000, 4.9439, 0.0000], [0.0000, 0.0000, 9.8430]],
  "species": ["La", "Sm", "Pb", "Pb", "Pb", "Pb", "Pb", "Pb"],
  "fractional_positions": [[0.0000, 0.0000, 0.0000], [0.0000, 0.0000, 0.5000], [0.0000, 0.5000, 0.2535], [0.0000, 0.5000, 0.7465], [0.5000, 0.0000, 0.2535], [0.5000, 0.0000, 0.7465], [0.5000, 0.5000, 0.0000], [0.5000, 0.5000, 0.5000]]
}

=====

2.
{
  "formula": "Pd4Rh2W",
  "functional": "PBE",
  "state": "relaxed",
  "space_group": "C2/m (12)",
  "ef_ev_per_atom": -0.098,
  "total_energy_ev_per_cell": -49.11,
  "total_magnetization_mub_per_cell": 0.0,
  "lattice": [[4.3554, -1.9411, 0.0000], [4.3554, 1.9411, 0.0000], [-0.9395, 0.0000, 6.1980]],
  "species": ["Pd", "Pd", "Pd", "Pd", "Rh", "Rh", "W"],
  "fractional_positions": [[0.0695, 0.0695, 0.2174], [0.3554, 0.3554, 0.0787], [0.6446, 0.6446, 0.9213], [0.9305, 0.9305, 0.7826], [0.2091, 0.2091, 0.6315], [0.7909, 0.7909, 0.3684], [0.5000, 0.5000, 0.5000]]
}